The following is a DFT calculation (PBE-GGA) of a relaxed structure of MnMo4Pb.

Cell: 5.312 5.312 5.312 Å, 60.00 60.00 60.00°
Element x y z (fractional)
Mn 0.000 0.000 0.000
Mo 0.123 0.626 0.626
Mo 0.626 0.123 0.626
Mo 0.626 0.626 0.123
Mo 0.626 0.626 0.626
Pb 0.250 0.250 0.250

Its mass density is 10.12 g/cm3. Its magnetic moment is 2.72 μB per cell. The value obtained for the formation energy is 571 meV per atom. The density of states at the Fermi level is 4.90 states/eV/cell. Its symmetry is No. 216.